1.
Here is a relaxed LaCuNi2 crystal from the Alexandria database. Energies are from GGA-PBEsol.

Lattice parameters (Å, degrees): 3.8496 3.8496 4.9482 112.89 112.89 90.00
Fractional coordinates of all 4 atoms:
Ni (0.0000, 0.0000, 0.0000)
Ni (0.7500, 0.2500, 0.5000)
La (0.2500, 0.7500, 0.5000)
Cu (0.5000, 0.5000, 0.0000)

Properties
**Final energy**: -5.5106 eV per atom
**Space-group type**: I-4m2, No. 119
**Fermi-level density of states**: 1.187 states/eV/cell

2.
Here is a relaxed Be4TcOs crystal from the Alexandria database. Energies are from GGA-PBEsol.

Lattice parameters (Å, degrees): 4.3200 4.3200 4.3200 60.00 60.00 60.00
Fractional coordinates of all 6 atoms:
Be (0.6253, 0.1242, 0.6253)
Be (0.6253, 0.6253, 0.1242)
Be (0.1242, 0.6253, 0.6253)
Be (0.6253, 0.6253, 0.6253)
Os (0.2500, 0.2500, 0.2500)
Tc (0.0000, 0.0000, 0.0000)

Properties
**Final energy**: -6.9131 eV per atom
**Space-group type**: F-43m, No. 216
**Fermi-level density of states**: 3.124 states/eV/cell

3.
Here is a relaxed KZn2Si crystal from the Alexandria database. Energies are from GGA-PBEsol.

Lattice parameters (Å, degrees): 3.2708 3.2708 7.7140 90.00 90.00 90.00
Fractional coordinates of all 4 atoms:
K (0.0000, 0.0000, 0.5074)
Si (0.5000, 0.5000, 0.8298)
Zn (0.5000, 0.5000, 0.1719)
Zn (0.0000, 0.0000, 0.9909)

Properties
**Formation energy (no corrections)**: 247 meV/atom
**Space-group type**: P4mm, No. 99
**Fermi-level density of states**: 1.614 states/eV/cell

4.
Here is a relaxed CdIr4Ru crystal from the Alexandria database. Energies are from GGA-PBEsol.

Lattice parameters (Å, degrees): 5.1268 5.1268 5.1268 60.00 60.00 60.00
Each line ends with the local moment (μB).
Fractional coordinates of all 6 atoms:
Ir (0.3751, 0.3751, 0.3751)  0.21
Ir (0.3751, 0.8748, 0.3751)  0.21
Ir (0.8748, 0.3751, 0.3751)  0.21
Ir (0.3751, 0.3751, 0.8748)  0.21
Cd (0.0000, 0.0000, 0.0000)  0.00
Ru (0.7500, 0.7500, 0.7500)  1.51

Properties
**Final energy**: -7.8434 eV per atom
**Space-group type**: F-43m, No. 216
**Fermi-level density of states**: 8.467 states/eV/cell

5.
Here is a relaxed MnTlF3 crystal from the Alexandria database. Energies are from GGA-PBEsol.

Lattice parameters (Å, degrees): 4.2155 4.2155 4.2155 90.00 90.00 90.00
Each line ends with the local moment (μB).
Fractional coordinates of all 5 atoms:
Tl (0.5000, 0.5000, 0.5000)  0.00
F (0.0000, 0.5000, 0.0000)  0.07
F (0.5000, 0.0000, 0.0000)  0.07
F (0.0000, 0.0000, 0.5000)  0.07
Mn (0.0000, 0.0000, 0.0000)  4.56

Properties
**Formation energy (no corrections)**: -2060 meV/atom
**Space-group type**: Pm-3m, No. 221

6.
Here is a relaxed CaCd2Hg crystal from the Alexandria database. Energies are from GGA-PBEsol.

Lattice parameters (Å, degrees): 3.3596 4.5881 6.3208 90.00 105.64 90.00
Fractional coordinates of all 4 atoms:
Cd (0.9576, 0.0000, 0.0388)
Cd (0.5522, 0.5000, 0.2309)
Ca (0.2978, 0.5000, 0.7187)
Hg (0.6923, 0.0000, 0.5116)

Properties
**Final energy**: -1.5633 eV per atom
**Space-group type**: Pm, No. 6
**Fermi-level density of states**: 1.885 states/eV/cell